Compound: Pm2PrSi
Source: Alexandria
Functional: PBE
Structure: relaxed

Geometry as POSCAR:
```
Pm2PrSi
1.0
-1.057 1.533 -3.434
1.348 -3.176 -1.833
-6.731 -3.222 0.634
Si Pr Pm
1 1 2
Cartesian
0.145 -0.822 -2.633 Si
-3.220 -2.433 -2.316 Pr
-5.412 -2.590 0.510 Pm
-1.319 -0.632 0.124 Pm
```

Results
- space-group type = P4/mmm
- excess energy over the best structure of this formula in the dataset (eV/atom) = 0.1322
- DOS(E_F) (states/eV per cell) = 5.0
- uncorrected formation energy (eV per atom) = -0.233